No. 1
A plane-wave DFT calculation with PBE-GGA was carried out for a geometry-optimized ZrScCuBi structure.

Density   7.79 Mg/m³
Relative energy among the computed polymorphs   36.6 kJ/mol of atoms

```
data_ZrScCuBi
_cell_length_a 7.0359
_cell_length_b 7.0359
_cell_length_c 7.0359
_cell_angle_alpha 90.00
_cell_angle_beta 90.00
_cell_angle_gamma 90.00
_symmetry_space_group_name_H-M 'F -4 3 m'
_symmetry_Int_Tables_number 216
_symmetry_space_group_name_Hall 'F -4 2 3'
loop_
_atom_site_label
_atom_site_type_symbol
_atom_site_fract_x
_atom_site_fract_y
_atom_site_fract_z
Zr1 Zr 0.0000 0.0000 0.0000
Sc1 Sc 0.2500 0.2500 0.7500
Cu1 Cu 0.2500 0.2500 0.2500
Bi1 Bi 0.0000 0.0000 0.5000
```



No. 2
A plane-wave DFT calculation with PBE-GGA was carried out for a geometry-optimized ErLu structure.

Density   8.64 Mg/m³
Relative energy among the computed polymorphs   80.3 kJ/mol of atoms

```
data_ErLu
_cell_length_a 6.4079
_cell_length_b 6.4079
_cell_length_c 6.4079
_cell_angle_alpha 90.00
_cell_angle_beta 90.00
_cell_angle_gamma 90.00
_symmetry_space_group_name_H-M 'F m -3 m'
_symmetry_Int_Tables_number 225
_symmetry_space_group_name_Hall '-F 4 2 3'
loop_
_atom_site_label
_atom_site_type_symbol
_atom_site_fract_x
_atom_site_fract_y
_atom_site_fract_z
Er1 Er 0.0000 0.0000 0.0000
Lu1 Lu 0.0000 0.0000 0.5000
```



No. 3
A plane-wave DFT calculation with PBE-GGA was carried out for a geometry-optimized ErMg2Hg structure.

Density   7.32 Mg/m³
Relative energy among the computed polymorphs   2.3 kJ/mol of atoms

```
data_ErMg2Hg
_cell_length_a 5.0489
_cell_length_b 10.8154
_cell_length_c 6.9203
_cell_angle_alpha 90.00
_cell_angle_beta 90.00
_cell_angle_gamma 90.00
_symmetry_space_group_name_H-M 'A m a 2'
_symmetry_Int_Tables_number 40
loop_
_symmetry_equiv_pos_as_xyz
'x,y,z'
'-x,-y,z'
'-x+1/2,y,z'
'x+1/2,-y,z'
'x,y+1/2,z+1/2'
'-x,-y+1/2,z+1/2'
'-x+1/2,y+1/2,z+1/2'
'x+1/2,-y+1/2,z+1/2'
loop_
_atom_site_label
_atom_site_type_symbol
_atom_site_fract_x
_atom_site_fract_y
_atom_site_fract_z
Er1 Er 0.2500 0.1256 0.0000
Mg1 Mg 0.2500 0.1629 0.4776
Mg2 Mg 0.2500 0.4039 0.1973
Hg1 Hg 0.2500 0.3722 0.7591
```



No. 4
A plane-wave DFT calculation with PBE-GGA was carried out for a geometry-optimized NdZn12 structure.

Total DFT energy (no corrections)   -1.73 eV/atom
Density   7.46 Mg/m³

```
data_NdZn12
_cell_length_a 8.8707
_cell_length_b 8.8707
_cell_length_c 5.2584
_cell_angle_alpha 90.00
_cell_angle_beta 90.00
_cell_angle_gamma 90.00
_symmetry_space_group_name_H-M 'I 4/m m m'
_symmetry_Int_Tables_number 139
_symmetry_space_group_name_Hall '-I 4 2'
loop_
_atom_site_label
_atom_site_type_symbol
_atom_site_fract_x
_atom_site_fract_y
_atom_site_fract_z
Nd1 Nd 0.0000 0.0000 0.0000
Zn1 Zn 0.0000 0.2196 0.5000
Zn2 Zn 0.0000 0.3549 0.0000
Zn3 Zn 0.2500 0.2500 0.2500
```



Copy entry 4 word for word.
A plane-wave DFT calculation with PBE-GGA was carried out for a geometry-optimized NdZn12 structure.

Total DFT energy (no corrections)   -1.73 eV/atom
Density   7.46 Mg/m³

```
data_NdZn12
_cell_length_a 8.8707
_cell_length_b 8.8707
_cell_length_c 5.2584
_cell_angle_alpha 90.00
_cell_angle_beta 90.00
_cell_angle_gamma 90.00
_symmetry_space_group_name_H-M 'I 4/m m m'
_symmetry_Int_Tables_number 139
_symmetry_space_group_name_Hall '-I 4 2'
loop_
_atom_site_label
_atom_site_type_symbol
_atom_site_fract_x
_atom_site_fract_y
_atom_site_fract_z
Nd1 Nd 0.0000 0.0000 0.0000
Zn1 Zn 0.0000 0.2196 0.5000
Zn2 Zn 0.0000 0.3549 0.0000
Zn3 Zn 0.2500 0.2500 0.2500
```



> Which value of density does entry 4 give?

7.46 Mg/m³